[1]
Al2CuSi: relaxed, PBE.

```
data_Al2CuSi
_chemical_formula_sum 'Al2 Cu1 Si1'
_space_group_name_H-M_alt 'P 1'
_space_group_IT_number 1
_space_group_name_Hall 'P 1'
_cell_length_a 2.8727
_cell_length_b 4.9880
_cell_length_c 5.3163
_cell_angle_alpha 50.60
_cell_angle_beta 90.00
_cell_angle_gamma 90.00
loop_
_atom_site_label
_atom_site_type_symbol
_atom_site_fract_x
_atom_site_fract_y
_atom_site_fract_z
_atom_site_occupancy
Si1 Si 0.0000 0.0000 0.5000 1
Al1 Al 0.5000 0.5000 0.0000 1
Al2 Al 0.0000 0.0000 0.0000 1
Cu1 Cu 0.5000 0.5000 0.5000 1
```

N(E_F)   0.5 states/eV per cell
Formation energy without anion corrections   19.9 kJ/mol of formula units
SG   No. 10

[2]
La3Tb6NdSm2: relaxed, PBE.

```
data_La3Tb6NdSm2
_chemical_formula_sum 'La3 Tb6 Nd1 Sm2'
_space_group_name_H-M_alt 'P 1'
_space_group_IT_number 1
_space_group_name_Hall 'P 1'
_cell_length_a 6.3063
_cell_length_b 6.3063
_cell_length_c 11.9317
_cell_angle_alpha 95.04
_cell_angle_beta 95.04
_cell_angle_gamma 120.02
loop_
_atom_site_label
_atom_site_type_symbol
_atom_site_fract_x
_atom_site_fract_y
_atom_site_fract_z
_atom_site_occupancy
Tb1 Tb 0.7486 0.7486 0.2473 1
Tb2 Tb 0.4158 0.0822 0.2472 1
Tb3 Tb 0.9178 0.5842 0.7528 1
Tb4 Tb 0.2514 0.2514 0.7527 1
Tb5 Tb 0.5842 0.9178 0.7528 1
Tb6 Tb 0.0822 0.4158 0.2472 1
La1 La 0.1668 0.8332 0.5000 1
La2 La 0.5000 0.5000 0.5000 1
La3 La 0.8332 0.1668 0.5000 1
Nd1 Nd 0.0000 0.0000 0.0000 1
Sm1 Sm 0.6667 0.3333 0.0000 1
Sm2 Sm 0.3333 0.6667 0.0000 1
```

N(E_F)   15.7 states/eV per cell
ΔE_f   0.01 eV/atom
SG   No. 12

[3]
PmPrEr3Tm: relaxed, PBE.

```
data_PmPrEr3Tm
_chemical_formula_sum 'Pm2 Pr2 Er6 Tm2'
_space_group_name_H-M_alt 'P 1'
_space_group_IT_number 1
_space_group_name_Hall 'P 1'
_cell_length_a 5.0426
_cell_length_b 7.9661
_cell_length_c 10.0847
_cell_angle_alpha 90.00
_cell_angle_beta 90.00
_cell_angle_gamma 108.49
loop_
_atom_site_label
_atom_site_type_symbol
_atom_site_fract_x
_atom_site_fract_y
_atom_site_fract_z
_atom_site_occupancy
Pm1 Pm 0.5000 0.0001 0.7500 1
Pm2 Pm 0.5000 0.9999 0.2500 1
Pr1 Pr 0.0000 0.0000 0.5000 1
Pr2 Pr 0.0000 0.0000 0.0000 1
Er1 Er 0.3310 0.6621 0.9999 1
Er2 Er 0.6690 0.3379 0.0001 1
Er3 Er 0.3310 0.6621 0.5001 1
Er4 Er 0.1688 0.3378 0.7500 1
Er5 Er 0.8312 0.6622 0.2500 1
Er6 Er 0.6690 0.3379 0.4999 1
Tm1 Tm 0.8314 0.6627 0.7500 1
Tm2 Tm 0.1686 0.3373 0.2500 1
```

N(E_F)   17.3 states/eV per cell
ΔE_f   0.03 eV/atom
SG   No. 63

[4]
InReC2: relaxed, PBE.

```
data_InReC2
_chemical_formula_sum 'In2 Re2 C4'
_space_group_name_H-M_alt 'P 1'
_space_group_IT_number 1
_space_group_name_Hall 'P 1'
_cell_length_a 4.9951
_cell_length_b 4.9951
_cell_length_c 5.9720
_cell_angle_alpha 65.28
_cell_angle_beta 65.28
_cell_angle_gamma 90.00
loop_
_atom_site_label
_atom_site_type_symbol
_atom_site_fract_x
_atom_site_fract_y
_atom_site_fract_z
_atom_site_occupancy
C1 C 0.8750 0.9378 0.7500 1
C2 C 0.6878 0.1250 0.2500 1
C3 C 0.3750 0.3122 0.7500 1
C4 C 0.0622 0.6250 0.2500 1
Re1 Re 0.0000 0.0000 0.0000 1
Re2 Re 0.7500 0.2500 0.5000 1
In1 In 0.5000 0.5000 0.0000 1
In2 In 0.2500 0.7500 0.5000 1
```

N(E_F)   2.7 states/eV per cell
Energy above the most stable polymorph in this dataset   0 meV/atom
ΔE_f   0.85 eV/atom
SG   No. 122

[5]
CeDyGa4: relaxed, PBE.

```
data_CeDyGa4
_chemical_formula_sum 'Ce1 Dy1 Ga4'
_space_group_name_H-M_alt 'P 1'
_space_group_IT_number 1
_space_group_name_Hall 'P 1'
_cell_length_a 5.5562
_cell_length_b 5.5562
_cell_length_c 5.5562
_cell_angle_alpha 60.00
_cell_angle_beta 60.00
_cell_angle_gamma 60.00
loop_
_atom_site_label
_atom_site_type_symbol
_atom_site_fract_x
_atom_site_fract_y
_atom_site_fract_z
_atom_site_occupancy
Ga1 Ga 0.6253 0.6253 0.1240 1
Ga2 Ga 0.1240 0.6253 0.6253 1
Ga3 Ga 0.6253 0.6253 0.6253 1
Ga4 Ga 0.6253 0.1240 0.6253 1
Ce1 Ce 0.0000 0.0000 0.0000 1
Dy1 Dy 0.2500 0.2500 0.2500 1
```

N(E_F)   7.6 states/eV per cell
Energy above the most stable polymorph in this dataset   106 meV/atom
ΔE_f   -0.52 eV/atom
SG   No. 216

[6]
HoEr6Sc12: relaxed, PBE.

```
data_HoEr6Sc12
_chemical_formula_sum 'Ho1 Er6 Sc12'
_space_group_name_H-M_alt 'P 1'
_space_group_IT_number 1
_space_group_name_Hall 'P 1'
_cell_length_a 8.9600
_cell_length_b 8.9600
_cell_length_c 8.9600
_cell_angle_alpha 110.79
_cell_angle_beta 110.79
_cell_angle_gamma 110.79
loop_
_atom_site_label
_atom_site_type_symbol
_atom_site_fract_x
_atom_site_fract_y
_atom_site_fract_z
_atom_site_occupancy
Sc1 Sc 0.6045 0.8223 0.6045 1
Sc2 Sc 0.8223 0.6045 0.6045 1
Sc3 Sc 0.5000 0.2154 0.7846 1
Sc4 Sc 0.1777 0.3955 0.3955 1
Sc5 Sc 0.6045 0.6045 0.8223 1
Sc6 Sc 0.2154 0.5000 0.7846 1
Sc7 Sc 0.7846 0.5000 0.2154 1
Sc8 Sc 0.3955 0.1777 0.3955 1
Sc9 Sc 0.5000 0.7846 0.2154 1
Sc10 Sc 0.2154 0.7846 0.5000 1
Sc11 Sc 0.3955 0.3955 0.1777 1
Sc12 Sc 0.7846 0.2154 0.5000 1
Ho1 Ho 0.0000 0.0000 0.0000 1
Er1 Er 0.0678 0.0678 0.7009 1
Er2 Er 0.0678 0.7009 0.0678 1
Er3 Er 0.9322 0.2991 0.9322 1
Er4 Er 0.9322 0.9322 0.2991 1
Er5 Er 0.2991 0.9322 0.9322 1
Er6 Er 0.7009 0.0678 0.0678 1
```

N(E_F)   35.2 states/eV per cell
Energy above the most stable polymorph in this dataset   148 meV/atom
ΔE_f   0.31 eV/atom
SG   No. 166

[7]
La4YCu: relaxed, PBE.

```
data_La4YCu
_chemical_formula_sum 'La4 Y1 Cu1'
_space_group_name_H-M_alt 'P 1'
_space_group_IT_number 1
_space_group_name_Hall 'P 1'
_cell_length_a 6.5526
_cell_length_b 6.5526
_cell_length_c 6.5526
_cell_angle_alpha 60.00
_cell_angle_beta 60.00
_cell_angle_gamma 60.00
loop_
_atom_site_label
_atom_site_type_symbol
_atom_site_fract_x
_atom_site_fract_y
_atom_site_fract_z
_atom_site_occupancy
La1 La 0.3750 0.8750 0.3750 1
La2 La 0.3750 0.3750 0.3750 1
La3 La 0.3750 0.3750 0.8750 1
La4 La 0.8750 0.3750 0.3750 1
Y1 Y 0.7500 0.7500 0.7500 1
Cu1 Cu 0.0000 0.0000 0.0000 1
```

N(E_F)   9.2 states/eV per cell
ΔE_f   0.49 eV/atom
SG   No. 216

[8]
Sr4LiIn5: relaxed, PBE.

```
data_Sr4LiIn5
_chemical_formula_sum 'Sr4 Li1 In5'
_space_group_name_H-M_alt 'P 1'
_space_group_IT_number 1
_space_group_name_Hall 'P 1'
_cell_length_a 3.9360
_cell_length_b 3.9360
_cell_length_c 20.2091
_cell_angle_alpha 90.00
_cell_angle_beta 90.00
_cell_angle_gamma 90.00
loop_
_atom_site_label
_atom_site_type_symbol
_atom_site_fract_x
_atom_site_fract_y
_atom_site_fract_z
_atom_site_occupancy
In1 In 0.5000 0.5000 0.5000 1
In2 In 0.5000 0.5000 0.7079 1
In3 In 0.5000 0.5000 0.0751 1
In4 In 0.5000 0.5000 0.2921 1
In5 In 0.5000 0.5000 0.9249 1
Sr1 Sr 0.0000 0.0000 0.8143 1
Sr2 Sr 0.0000 0.0000 0.6046 1
Sr3 Sr 0.0000 0.0000 0.3954 1
Sr4 Sr 0.0000 0.0000 0.1857 1
Li1 Li 0.0000 0.0000 0.0000 1
```

N(E_F)   6.1 states/eV per cell
ΔE_f   -0.37 eV/atom
SG   No. 123

Short version: total magnetic moment = 0.00, 0.00, 0.00, 0.00, 0.86, 0.00, 0.00, 0.00 μB per cell, in the order given.